Ta2ZnO6 | Alexandria via LeMat-Bulk | PBE-GGA | relaxed; crystal system = orthorhombic; M_tot = 0.00 μB per formula unit; space group = Pmn2_1 (31); VASP energy = -8.578 eV per atom; excess energy over the best structure of this formula in the dataset = 3.0 kJ per mole of atoms
1.0
5.2187 0.0000 0.0000
0.0000 5.6795 0.0000
0.0000 0.0000 7.5628
O Ta Zn
12 4 2
direct
0.2238 0.5216 0.1859
0.2238 0.5216 0.8141
0.2230 0.9776 0.1858
0.8990 0.2502 0.0000
0.6594 0.7502 0.0000
0.3990 0.7498 0.5000
0.7238 0.4784 0.6859
0.1594 0.2498 0.5000
0.7230 0.0224 0.3142
0.7230 0.0224 0.6858
0.7238 0.4784 0.3141
0.2230 0.9776 0.8142
0.0088 0.2499 0.2445
0.0088 0.2499 0.7555
0.5088 0.7501 0.7445
0.5088 0.7501 0.2555
0.0408 0.7493 0.0000
0.5408 0.2507 0.5000